# Ac8Te4As3N, optimized geometry, DFT PBE-GGA
data_Ac8Te4As3N
_chemical_formula_sum 'Ac24 Te12 As9 N3'
_cell_length_a 8.9981
_cell_length_b 8.9981
_cell_length_c 23.1244
_cell_angle_alpha 90.00
_cell_angle_beta 90.00
_cell_angle_gamma 120.00
_space_group_name_H-M_alt 'R -3 m'
_space_group_IT_number 166
_space_group_name_Hall '-R 3 2"'
loop_
_atom_site_label
_atom_site_type_symbol
_atom_site_fract_x
_atom_site_fract_y
_atom_site_fract_z
_atom_site_occupancy
Ac1 Ac 0.0000 0.0000 0.2415 1
Ac2 Ac 0.0222 0.5111 0.2366 1
Te1 Te 0.0000 0.0000 0.0000 1
Te2 Te 0.0000 0.5000 0.0000 1
As1 As 0.0000 0.5000 0.5000 1
N1 N 0.0000 0.0000 0.5000 1
# Formation energy from raw total energies ... -1.4386 eV per atom
# Spin magnetization ... 0.00 μB per cell